DFT (PBE) results for crystalline HgMoC3 at its relaxed geometry.

a = 4.168 Å, b = 4.168 Å, c = 4.168 Å
α = 90.00°, β = 90.00°, γ = 90.00°
Space group Pm-3m (No. 221)
Unique sites:
Hg 0.000 0.000 0.000
Mo 0.500 0.500 0.500
C 0.000 0.000 0.500

## Properties
**Mass density**: 7.6 Mg/m³
**Formation energy**: 18.05 eV per formula unit
**Crystal system**: cubic
**V**: 72.4 Å³ per cell